# 1
Material: SrZrSi2
Method: DFT, PBE-GGA
State: optimized geometry

abc: 9.164 3.764 6.234
angles: 90.00 111.95 90.00
Space group C2/m (No. 12)
Symmetry-distinct sites (fractional):
Sr: 0.000 0.000 0.000 (multiplicity 2)
Zr: 0.000 0.500 0.500 (multiplicity 2)
Si: 0.236 0.000 0.619 (multiplicity 4)

Results
**D(E_F)**: 0.77 states/eV per atom
**Calculated density**: 3.91 g/cm3
**E_tot**: -5.59 eV/atom

# 2
Material: Mo2Pt8Rh3
Method: DFT, PBE-GGA
State: optimized geometry

abc: 11.943 8.047 4.501
angles: 90.00 102.15 90.00
Space group C2/m (No. 12)
Symmetry-distinct sites (fractional):
Mo: 0.173 0.000 0.321 (multiplicity 4)
Pt: 0.060 0.000 0.783 (multiplicity 4)
Pt: 0.159 0.278 0.620 (multiplicity 8)
Pt: 0.196 0.500 0.112 (multiplicity 4)
Rh: 0.000 0.308 0.000 (multiplicity 4)
Rh: 0.000 0.500 0.500 (multiplicity 2)

Results
**D(E_F)**: 1.01 states/eV per atom
**ΔE_f**: 0.0247 eV/atom
**Calculated density**: 16.19 g/cm3

# 3
Material: La5Sm3In3
Method: DFT, PBE-GGA
State: optimized geometry

abc: 11.1050 11.1050 3.4742
angles: 90.00 90.00 120.00
Space group P-62m (No. 189)
Symmetry-distinct sites (fractional):
La: 0.0000 0.3414 0.0000 (multiplicity 3)
La: 0.3333 0.6667 0.0000 (multiplicity 2)
Sm: 0.0000 0.8306 0.0000 (multiplicity 3)
In: 0.0000 0.5889 0.5000 (multiplicity 3)

Results
**D(E_F)**: 1.45 states/eV per atom
**ΔE_f**: 0.0513 eV/atom
**Calculated density**: 6.67 g/cm3